(1)
A plane-wave DFT calculation with PBE was carried out for a relaxed Pm3Nd2Er8 crystal.

Relative energy among the computed polymorphs ... 0.25 eV/f.u.
V ... 438.6 Å³/f.u.
DFT formation energy ... 0.253 eV per atom

Cell: 5.5763 7.6637 10.9559 Å, 110.47 90.02 90.00°
Sites, in units of the cell vectors:
Pm (0.5000, 0.0000, 0.0000)
Pm (0.0000, 0.2924, 0.0000)
Pm (0.0000, 0.7076, 0.0000)
Er (0.0002, 0.8696, 0.7392)
Er (0.4998, 0.1809, 0.7838)
Er (0.0005, 0.6641, 0.3283)
Er (0.9998, 0.1304, 0.2608)
Er (0.5002, 0.8191, 0.2162)
Er (0.4998, 0.6029, 0.7838)
Er (0.5002, 0.3971, 0.2162)
Er (0.9995, 0.3359, 0.6717)
Nd (0.4994, 0.2408, 0.4816)
Nd (0.5006, 0.7592, 0.5184)



(2)
A plane-wave DFT calculation with PBE was carried out for a relaxed Pm4Nd4Er crystal.

V ... 309.0 Å³/f.u.
DFT formation energy ... 0.014 eV per atom

Cell: 5.1663 8.1571 9.6339 Å, 53.75 74.48 71.62°
Sites, in units of the cell vectors:
Pm (0.3895, 0.5527, 0.6683)
Pm (0.0552, 0.2227, 0.6668)
Pm (0.6105, 0.4473, 0.3317)
Pm (0.9448, 0.7773, 0.3332)
Er (0.5000, 0.0000, 0.0000)
Nd (0.7216, 0.8899, 0.6671)
Nd (0.1654, 0.6693, 0.9998)
Nd (0.8346, 0.3307, 0.0002)
Nd (0.2784, 0.1101, 0.3329)



(3)
A plane-wave DFT calculation with PBE was carried out for a relaxed PmNd5Er5 crystal.

V ... 372.3 Å³/f.u.
DFT formation energy ... 0.257 eV per atom

Cell: 5.9874 9.9489 7.0484 Å, 110.54 90.00 107.51°
Sites, in units of the cell vectors:
Er (0.6694, 0.3389, 0.1707)
Er (0.6225, 0.2450, 0.6240)
Er (0.3775, 0.7550, 0.3760)
Er (0.3306, 0.6611, 0.8293)
Er (0.0000, 0.0000, 0.5000)
Nd (0.5000, 0.0000, 0.0000)
Nd (0.1766, 0.3532, 0.4213)
Nd (0.8234, 0.6468, 0.0669)
Nd (0.1766, 0.3532, 0.9331)
Nd (0.8234, 0.6468, 0.5787)
Pm (0.0000, 0.0000, 0.0000)



(4)
A plane-wave DFT calculation with PBE was carried out for a relaxed Pm3Nd2Er8 crystal.

Relative energy among the computed polymorphs ... 0.00 eV/f.u.
V ... 440.7 Å³/f.u.
DFT formation energy ... 0.234 eV per atom

Cell: 6.9220 9.4959 9.4959 Å, 57.72 61.20 61.20°
Sites, in units of the cell vectors:
Pm (0.0000, 0.1765, 0.8235)
Pm (0.0000, 0.8235, 0.1765)
Pm (0.5000, 0.0000, 0.0000)
Nd (0.5205, 0.7794, 0.7794)
Nd (0.4795, 0.2206, 0.2206)
Er (0.4357, 0.7993, 0.4373)
Er (0.4357, 0.4373, 0.7993)
Er (0.5643, 0.5627, 0.2007)
Er (0.9900, 0.8073, 0.8073)
Er (0.0743, 0.5797, 0.5797)
Er (0.0100, 0.1927, 0.1927)
Er (0.9257, 0.4203, 0.4203)
Er (0.5643, 0.2007, 0.5627)



(5)
A plane-wave DFT calculation with PBE was carried out for a relaxed PmNd2Er3 crystal.

Relative energy among the computed polymorphs ... 0.00 eV/f.u.
V ... 198.3 Å³/f.u.
DFT formation energy ... 0.100 eV per atom

Cell: 5.5680 8.9296 10.1554 Å, 122.32 90.00 108.17°
Sites, in units of the cell vectors:
Er (0.6113, 0.2226, 0.6512)
Er (0.2948, 0.5895, 0.5785)
Er (0.3887, 0.7774, 0.3488)
Er (0.0513, 0.1027, 0.3991)
Er (0.7052, 0.4105, 0.4215)
Er (0.9487, 0.8973, 0.6009)
Nd (0.7749, 0.5499, 0.1320)
Nd (0.5143, 0.0285, 0.8615)
Nd (0.2251, 0.4501, 0.8680)
Nd (0.4857, 0.9715, 0.1385)
Pm (0.1351, 0.2702, 0.1425)
Pm (0.8649, 0.7297, 0.8575)



(6)
A plane-wave DFT calculation with PBE was carried out for a relaxed Pm4NdEr15 crystal.

V ... 628.2 Å³/f.u.
DFT formation energy ... 0.022 eV per atom

Cell: 5.0079 5.0079 25.0487 Å, 90.00 90.00 90.00°
Sites, in units of the cell vectors:
Er (0.5000, 0.5000, 0.5999)
Er (0.5000, 0.5000, 0.7997)
Er (0.0000, 0.5000, 0.8997)
Er (0.5000, 0.0000, 0.8997)
Er (0.5000, 0.0000, 0.3001)
Er (0.5000, 0.5000, 0.2003)
Er (0.0000, 0.5000, 0.1003)
Er (0.0000, 0.5000, 0.3001)
Er (0.5000, 0.0000, 0.5000)
Er (0.5000, 0.5000, 0.0000)
Er (0.0000, 0.5000, 0.6999)
Er (0.5000, 0.5000, 0.4001)
Er (0.0000, 0.5000, 0.5000)
Er (0.5000, 0.0000, 0.6999)
Er (0.5000, 0.0000, 0.1003)
Pm (0.0000, 0.0000, 0.4001)
Pm (0.0000, 0.0000, 0.2002)
Pm (0.0000, 0.0000, 0.5999)
Pm (0.0000, 0.0000, 0.7998)
Nd (0.0000, 0.0000, 0.0000)



(7)
A plane-wave DFT calculation with PBE was carried out for a relaxed PmNd3Er crystal.

Relative energy among the computed polymorphs ... 0.72 eV/f.u.
V ... 178.1 Å³/f.u.
DFT formation energy ... 0.329 eV per atom

Cell: 8.1429 8.1429 6.2086 Å, 90.00 90.00 59.90°
Sites, in units of the cell vectors:
Er (0.6688, 0.6688, 0.2500)
Er (0.3312, 0.3312, 0.7500)
Nd (0.1996, 0.5978, 0.2500)
Nd (0.0000, 0.0000, 0.5000)
Nd (0.4022, 0.8004, 0.7500)
Nd (0.8004, 0.4022, 0.7500)
Nd (0.5978, 0.1996, 0.2500)
Nd (0.0000, 0.0000, 0.0000)
Pm (0.2005, 0.2005, 0.2500)
Pm (0.7995, 0.7995, 0.7500)



(8)
A plane-wave DFT calculation with PBE was carried out for a relaxed PmNd4Er2 crystal.

Relative energy among the computed polymorphs ... 0.00 eV/f.u.
V ... 238.1 Å³/f.u.
DFT formation energy ... 0.061 eV per atom

Cell: 12.6188 12.6188 6.8384 Å, 96.99 96.99 150.23°
Sites, in units of the cell vectors:
Nd (0.5590, 0.5962, 0.1303)
Nd (0.5962, 0.5590, 0.6303)
Nd (0.1786, 0.7155, 0.3696)
Nd (0.1858, 0.7934, 0.9008)
Nd (0.7934, 0.1858, 0.4008)
Nd (0.7155, 0.1786, 0.8696)
Nd (0.1424, 0.0350, 0.0994)
Nd (0.0350, 0.1424, 0.5994)
Er (0.3046, 0.6220, 0.9494)
Er (0.9234, 0.1061, 0.0513)
Er (0.1061, 0.9234, 0.5513)
Er (0.6220, 0.3046, 0.4494)
Pm (0.4247, 0.6745, 0.5007)
Pm (0.6745, 0.4247, 0.0007)



(9)
A plane-wave DFT calculation with PBE was carried out for a relaxed PmNd2Er8 crystal.

Relative energy among the computed polymorphs ... 0.49 eV/f.u.
V ... 356.7 Å³/f.u.
DFT formation energy ... 0.160 eV per atom

Cell: 5.8816 9.0326 9.1931 Å, 60.58 74.48 57.00°
Sites, in units of the cell vectors:
Er (0.8258, 0.0981, 0.2333)
Er (0.1742, 0.9019, 0.7667)
Er (0.1742, 0.6686, 0.2333)
Er (0.5000, 0.2084, 0.5832)
Er (0.2955, 0.4305, 0.0000)
Er (0.5000, 0.7916, 0.4168)
Er (0.7045, 0.5695, 0.0000)
Er (0.8258, 0.3314, 0.7667)
Pm (0.5000, 0.0000, 0.0000)
Nd (0.0000, 0.3064, 0.3872)
Nd (0.0000, 0.6936, 0.6128)



(10)
A plane-wave DFT calculation with PBE was carried out for a relaxed PmNd2Er8 crystal.

Relative energy among the computed polymorphs ... 0.00 eV/f.u.
V ... 355.1 Å³/f.u.
DFT formation energy ... 0.115 eV per atom

Cell: 5.4889 8.0686 9.3851 Å, 115.46 107.00 90.00°
Sites, in units of the cell vectors:
Er (0.0000, 0.7068, 0.0000)
Er (0.1605, 0.1604, 0.3210)
Er (0.3616, 0.5694, 0.7232)
Er (0.8395, 0.8396, 0.6790)
Er (0.3616, 0.1539, 0.7233)
Er (0.0000, 0.2932, 0.0000)
Er (0.6384, 0.4306, 0.2768)
Er (0.6384, 0.8461, 0.2767)
Nd (0.2005, 0.7005, 0.4010)
Nd (0.7995, 0.2995, 0.5990)
Pm (0.5000, 0.0000, 0.0000)



(11)
A plane-wave DFT calculation with PBE was carried out for a relaxed Pm3Nd7Er2 crystal.

Relative energy among the computed polymorphs ... 0.00 eV/f.u.
V ... 414.9 Å³/f.u.
DFT formation energy ... 0.089 eV per atom

Cell: 3.6277 5.9556 19.8089 Å, 104.22 90.00 90.00°
Sites, in units of the cell vectors:
Nd (0.0000, 0.4652, 0.1460)
Nd (0.5000, 0.2782, 0.5353)
Nd (0.0000, 0.5348, 0.8540)
Nd (0.5000, 0.0005, 0.8178)
Nd (0.5000, 0.7218, 0.4647)
Nd (0.5000, 0.9995, 0.1822)
Nd (0.0000, 0.0000, 0.0000)
Pm (0.0000, 0.1500, 0.3663)
Pm (0.5000, 0.5000, 0.0000)
Pm (0.0000, 0.8500, 0.6337)
Er (0.5000, 0.4109, 0.7037)
Er (0.5000, 0.5891, 0.2963)



(12)
A plane-wave DFT calculation with PBE was carried out for a relaxed Pm2Nd8Er3 crystal.

Relative energy among the computed polymorphs ... 0.00 eV/f.u.
V ... 447.5 Å³/f.u.
DFT formation energy ... 0.160 eV per atom

Cell: 6.1535 11.7954 8.9575 Å, 131.18 72.27 90.00°
Sites, in units of the cell vectors:
Pm (0.6619, 0.6883, 0.3765)
Pm (0.3381, 0.3117, 0.6235)
Nd (0.6555, 0.0767, 0.6767)
Nd (0.6555, 0.5999, 0.6767)
Nd (0.1075, 0.8617, 0.7234)
Nd (0.7606, 0.4146, 0.8291)
Nd (0.3445, 0.4001, 0.3233)
Nd (0.3445, 0.9233, 0.3233)
Nd (0.2394, 0.5854, 0.1709)
Nd (0.8925, 0.1383, 0.2766)
Er (0.5000, 0.0000, 0.0000)
Er (0.0000, 0.7341, 0.0000)
Er (0.0000, 0.2659, 0.0000)



(13)
A plane-wave DFT calculation with PBE was carried out for a relaxed Pm2Nd5Er2 crystal.

Relative energy among the computed polymorphs ... 0.00 eV/f.u.
V ... 306.0 Å³/f.u.
DFT formation energy ... 0.016 eV per atom

Cell: 6.3020 6.3027 14.0795 Å, 58.52 132.17 131.83°
Sites, in units of the cell vectors:
Nd (0.7778, 0.6671, 0.4450)
Nd (0.2222, 0.3329, 0.5550)
Nd (0.0000, 0.0000, 0.0000)
Nd (0.5559, 0.3331, 0.8891)
Nd (0.4441, 0.6669, 0.1109)
Pm (0.6689, 0.9989, 0.6683)
Pm (0.3311, 0.0011, 0.3317)
Er (0.1100, 0.6667, 0.7772)
Er (0.8900, 0.3333, 0.2228)



(14)
A plane-wave DFT calculation with PBE was carried out for a relaxed Pm2Nd7Er crystal.

V ... 412.0 Å³/f.u.
DFT formation energy ... 0.623 eV per atom

Cell: 5.4878 9.6122 9.6123 Å, 125.65 90.00 90.00°
Sites, in units of the cell vectors:
Nd (0.5000, 0.0713, 0.2900)
Nd (0.5000, 0.9287, 0.7100)
Nd (0.0000, 0.2109, 0.7892)
Nd (0.0000, 0.7891, 0.2108)
Nd (0.5000, 0.2900, 0.0713)
Nd (0.5000, 0.7100, 0.9287)
Nd (0.5000, 0.5000, 0.5000)
Er (0.0000, 0.0000, 0.0000)
Pm (0.5000, 0.7053, 0.2947)
Pm (0.5000, 0.2947, 0.7053)



(15)
A plane-wave DFT calculation with PBE was carried out for a relaxed Pm12Nd6Er crystal.

Relative energy among the computed polymorphs ... 3.29 eV/f.u.
V ... 673.9 Å³/f.u.
DFT formation energy ... 0.304 eV per atom

Cell: 9.9666 9.9666 9.9666 Å, 112.21 112.21 112.21°
Sites, in units of the cell vectors:
Pm (0.8794, 0.1206, 0.5000)
Pm (0.9074, 0.2672, 0.2672)
Pm (0.7328, 0.7328, 0.0926)
Pm (0.2672, 0.9074, 0.2672)
Pm (0.8794, 0.5000, 0.1206)
Pm (0.1206, 0.5000, 0.8794)
Pm (0.5000, 0.8794, 0.1206)
Pm (0.5000, 0.1206, 0.8794)
Pm (0.0926, 0.7328, 0.7328)
Pm (0.1206, 0.8794, 0.5000)
Pm (0.7328, 0.0926, 0.7328)
Pm (0.2672, 0.2672, 0.9074)
Nd (0.2687, 0.2687, 0.5225)
Nd (0.5225, 0.2687, 0.2687)
Nd (0.7313, 0.7313, 0.4775)
Nd (0.2687, 0.5225, 0.2687)
Nd (0.7313, 0.4775, 0.7313)
Nd (0.4775, 0.7313, 0.7313)
Er (0.0000, 0.0000, 0.0000)



(16)
A plane-wave DFT calculation with PBE was carried out for a relaxed Pm12NdEr2 crystal.

V ... 512.2 Å³/f.u.
DFT formation energy ... 0.104 eV per atom

Cell: 6.7867 6.7867 25.2015 Å, 84.89 95.11 63.56°
Sites, in units of the cell vectors:
Er (0.5065, 0.9935, 0.2945)
Er (0.9935, 0.5065, 0.7055)
Er (0.5293, 0.9707, 0.7252)
Er (0.9707, 0.5293, 0.2748)
Pm (0.5620, 0.3800, 0.0715)
Pm (0.8542, 0.0798, 0.2011)
Pm (0.7222, 0.7778, 0.1211)
Pm (0.2699, 0.2301, 0.8351)
Pm (0.8204, 0.1465, 0.4439)
Pm (0.6458, 0.4202, 0.7989)
Pm (0.6601, 0.8399, 0.5769)
Pm (0.1465, 0.8204, 0.5561)
Pm (0.7778, 0.7222, 0.8789)
Pm (0.3535, 0.6796, 0.4439)
Pm (0.6796, 0.3535, 0.5561)
Pm (0.1200, 0.9380, 0.0715)
Pm (0.0329, 0.0014, 0.3280)
Pm (0.4202, 0.6458, 0.2011)
Pm (0.8399, 0.6601, 0.4231)
Pm (0.3800, 0.5620, 0.9285)
Pm (0.0798, 0.8542, 0.7989)
Pm (0.4986, 0.4671, 0.3280)
Pm (0.4671, 0.4986, 0.6720)
Pm (0.3056, 0.1944, 0.4251)
Pm (0.9380, 0.1200, 0.9285)
Pm (0.0014, 0.0329, 0.6720)
Pm (0.1944, 0.3056, 0.5749)
Pm (0.2301, 0.2699, 0.1649)
Nd (0.4932, 0.0068, 0.9837)
Nd (0.0068, 0.4932, 0.0163)



(17)
A plane-wave DFT calculation with PBE was carried out for a relaxed PmNd3Er6 crystal.

Relative energy among the computed polymorphs ... 2.36 eV/f.u.
V ... 328.8 Å³/f.u.
DFT formation energy ... 0.300 eV per atom

Cell: 9.9020 9.9020 6.9046 Å, 44.19 44.19 60.00°
Sites, in units of the cell vectors:
Pm (0.8507, 0.8507, 0.4479)
Nd (0.1001, 0.1001, 0.6996)
Nd (0.6008, 0.6008, 0.1976)
Nd (0.3507, 0.3507, 0.9480)
Er (0.2721, 0.9268, 0.2011)
Er (0.0989, 0.4273, 0.7012)
Er (0.6000, 0.2721, 0.2011)
Er (0.7726, 0.0989, 0.7012)
Er (0.4273, 0.7726, 0.7012)
Er (0.9268, 0.6000, 0.2011)



(18)
A plane-wave DFT calculation with PBE was carried out for a relaxed Pm7NdEr4 crystal.

Relative energy among the computed polymorphs ... 0.00 eV/f.u.
V ... 398.1 Å³/f.u.
DFT formation energy ... 0.001 eV per atom

Cell: 7.2666 6.2939 11.5311 Å, 79.54 50.94 90.03°
Sites, in units of the cell vectors:
Er (0.8356, 0.7809, 0.6644)
Er (0.4114, 0.7220, 0.3345)
Er (0.1644, 0.2191, 0.3356)
Er (0.5886, 0.2780, 0.6655)
Pm (0.2552, 0.4997, 0.9984)
Pm (0.5000, 0.0000, 0.0000)
Pm (0.9156, 0.7198, 0.3362)
Pm (0.3348, 0.7772, 0.6651)
Pm (0.0844, 0.2802, 0.6638)
Pm (0.7448, 0.5003, 0.0016)
Pm (0.6652, 0.2228, 0.3349)
Nd (0.0000, 0.0000, 0.0000)



(19)
A plane-wave DFT calculation with PBE was carried out for a relaxed Pm16Nd6Er7 crystal.

V ... 1024.3 Å³/f.u.
DFT formation energy ... 0.207 eV per atom

Cell: 11.3148 11.3148 11.3148 Å, 60.00 60.00 60.00°
Sites, in units of the cell vectors:
Pm (0.1256, 0.1256, 0.6232)
Pm (0.3490, 0.3490, 0.3490)
Pm (0.6510, 0.6510, 0.6510)
Pm (0.3768, 0.8744, 0.8744)
Pm (0.9531, 0.3490, 0.3490)
Pm (0.1256, 0.1256, 0.1256)
Pm (0.6510, 0.6510, 0.0469)
Pm (0.8744, 0.8744, 0.3768)
Pm (0.6232, 0.1256, 0.1256)
Pm (0.6510, 0.0469, 0.6510)
Pm (0.3490, 0.3490, 0.9531)
Pm (0.0469, 0.6510, 0.6510)
Pm (0.1256, 0.6232, 0.1256)
Pm (0.8744, 0.8744, 0.8744)
Pm (0.8744, 0.3768, 0.8744)
Pm (0.3490, 0.9531, 0.3490)
Er (0.5000, 0.0000, 0.0000)
Er (0.0000, 0.5000, 0.0000)
Er (0.0000, 0.0000, 0.5000)
Er (0.5000, 0.5000, 0.0000)
Er (0.0000, 0.0000, 0.0000)
Er (0.0000, 0.5000, 0.5000)
Er (0.5000, 0.0000, 0.5000)
Nd (0.2731, 0.7269, 0.2731)
Nd (0.7269, 0.2731, 0.2731)
Nd (0.2731, 0.2731, 0.7269)
Nd (0.7269, 0.7269, 0.2731)
Nd (0.7269, 0.2731, 0.7269)
Nd (0.2731, 0.7269, 0.7269)



Number 1: Fermi-level density of states 23.41 states/eV per cell. Number 2: Fermi-level density of states 13.16 states/eV per cell. Number 3: Fermi-level density of states 17.88 states/eV per cell. Number 4: Fermi-level density of states 16.75 states/eV per cell. Number 5: Fermi-level density of states 20.11 states/eV per cell. Number 6: Fermi-level density of states 27.18 states/eV per cell. Number 7: Fermi-level density of states 8.25 states/eV per cell. Number 8: Fermi-level density of states 21.06 states/eV per cell. Number 9: Fermi-level density of states 15.50 states/eV per cell. Number 10: Fermi-level density of states 14.36 states/eV per cell. Number 11: Fermi-level density of states 16.36 states/eV per cell. Number 12: Fermi-level density of states 20.53 states/eV per cell. Number 13: Fermi-level density of states 13.49 states/eV per cell. Number 14: Fermi-level density of states 15.71 states/eV per cell. Number 15: Fermi-level density of states 32.01 states/eV per cell. Number 16: Fermi-level density of states 39.30 states/eV per cell. Number 17: Fermi-level density of states 20.79 states/eV per cell. Number 18: Fermi-level density of states 15.24 states/eV per cell. Number 19: Fermi-level density of states 43.84 states/eV per cell.